# 1
AgPdN | Alexandria via LeMat-Bulk | PBE-GGA | optimized geometry; density of states at the Fermi level = 2.2 states/eV per cell; space group = Pm, No. 6; offset from the most stable computed form = 8 meV per atom
1.0
4.938 0.000 0.000
0.000 2.916 0.000
-1.974 0.000 7.068
Ag Pd N
2 2 2
Direct
0.000 0.000 0.000 Ag
0.442 0.000 0.723 Ag
0.177 0.500 0.349 Pd
0.923 0.500 0.669 Pd
0.546 0.500 0.292 N
0.783 0.500 0.375 N



# 2
Na5LaO4 | Alexandria via LeMat-Bulk | PBE-GGA | optimized geometry; density of states at the Fermi level = 0.0 states/eV per cell; space group = C2/m, No. 12; offset from the most stable computed form = 35 meV per atom
1.0
6.431 -1.871 0.000
6.431 1.871 0.000
-1.364 0.000 6.138
Na La O
5 1 4
Direct
0.000 0.000 0.000 Na
0.283 0.283 0.351 Na
0.336 0.336 0.961 Na
0.664 0.664 0.039 Na
0.717 0.717 0.649 Na
0.000 0.000 0.500 La
0.150 0.150 0.812 O
0.416 0.416 0.670 O
0.584 0.584 0.330 O
0.850 0.850 0.188 O



Which of these has the lowest density of states at the Fermi level? Na5LaO4



Repeat the first record exactly.
AgPdN | Alexandria via LeMat-Bulk | PBE-GGA | optimized geometry; density of states at the Fermi level = 2.2 states/eV per cell; space group = Pm, No. 6; offset from the most stable computed form = 8 meV per atom
1.0
4.938 0.000 0.000
0.000 2.916 0.000
-1.974 0.000 7.068
Ag Pd N
2 2 2
Direct
0.000 0.000 0.000 Ag
0.442 0.000 0.723 Ag
0.177 0.500 0.349 Pd
0.923 0.500 0.669 Pd
0.546 0.500 0.292 N
0.783 0.500 0.375 N



Which of these has the highest density of states at the Fermi level? AgPdN